No. 1
The following is a meta-GGA SCAN calculation of a PBEsol-optimized structure of SrHg2Bi2, from Alexandria.

The structure in POSCAR format:
```
SrHg2Bi2
1.0
3.867 0.000 0.000
0.000 8.579 0.000
0.000 0.000 8.579
Sr Bi Hg
2 4 4
Direct
0.000 0.000 0.000
0.000 0.500 0.500
0.500 0.184 0.684
0.500 0.684 0.816
0.500 0.816 0.316
0.500 0.316 0.184
0.000 0.382 0.882
0.000 0.882 0.618
0.000 0.618 0.118
0.000 0.118 0.382
```

No. 2
The following is a meta-GGA SCAN calculation of a PBEsol-optimized structure of Sr2HgBi2, from Alexandria.

The structure in POSCAR format:
```
Sr2HgBi2
1.0
-0.407 -3.143 3.503
5.743 -4.895 -3.724
6.107 3.938 4.243
Sr Bi Hg
4 4 2
Direct
0.500 0.175 0.675
0.500 0.675 0.825
0.500 0.825 0.325
0.500 0.325 0.175
0.000 0.373 0.873
0.000 0.873 0.627
0.000 0.627 0.127
0.000 0.127 0.373
0.000 0.000 0.000
0.000 0.500 0.500
```

| no. | VASP energy (eV per atom) | DFT formation energy (eV per atom) |
| --- | --- | --- |
| 1 | -63.457 | -0.304 |
| 2 | -54.672 | -0.697 |